The following is a DFT calculation (GGA-PBE) of a geometry-optimized Tc2HgIr structure.

Geometry as POSCAR:
```
Tc2HgIr
1.0
-5.764 -2.086 -4.142
4.385 -4.601 -3.785
-1.230 -5.280 -2.236
Ir Tc Hg
2 4 2
Direct
0.250 0.750 0.500
0.500 0.500 0.000
0.875 0.825 0.750
0.375 0.425 0.750
0.575 0.125 0.250
0.175 0.625 0.250
0.750 0.250 0.500
0.000 0.000 0.000
```



The following is a DFT calculation (GGA-PBE) of a geometry-optimized TcHgIr2 structure.

Geometry as POSCAR:
```
TcHgIr2
1.0
4.780 0.000 0.000
0.000 4.780 0.000
0.000 0.000 2.852
Ir Tc Hg
2 1 1
Direct
0.000 0.000 0.000
0.500 0.500 0.000
0.500 0.000 0.500
0.000 0.500 0.500
```



TcHg2Ir, optimized geometry, DFT GGA-PBE; relative energy among the computed polymorphs = 0.477 eV per atom
1.0
2.884 0.004 0.000
-1.383 2.531 0.000
0.000 0.000 9.697
Hg Ir Tc
2 1 1
Direct
0.000 0.000 0.002
0.000 0.000 0.498
0.500 0.500 0.250
0.500 0.500 0.750



Number 1: formation energy 858 meV per atom, E -6.62 eV per atom. Number 2: formation energy 626 meV per atom, E -6.47 eV per atom. Number 3: formation energy 688 meV per atom, E -4.27 eV per atom.